(1)
The following is a PBE calculation of crystalline AlGeHAu2 at its relaxed geometry, from Alexandria.

Cell: 4.918 4.918 4.922 Å, 90.00 90.00 90.00°
Space group P4/mmm (No. 123)
Symmetry-distinct sites (fractional):
Al (0.000, 0.000, 0.000) [1 per cell]
Ge (0.000, 0.000, 0.500) [1 per cell]
H (0.500, 0.500, 0.500) [1 per cell]
Au (0.000, 0.500, 0.000) [2 per cell]

The density of states at the Fermi level is 1.88 states/eV/cell. The total energy is -2.83 eV/atom.



(2)
The following is a PBE calculation of crystalline Be3BBr at its relaxed geometry, from Alexandria.

Cell: 4.263 4.263 4.263 Å, 90.00 90.00 90.00°
Space group Pm-3m (No. 221)
Symmetry-distinct sites (fractional):
Be (0.000, 0.000, 0.500) [3 per cell]
B (0.500, 0.500, 0.500) [1 per cell]
Br (0.000, 0.000, 0.000) [1 per cell]

The density of states at the Fermi level is 4.11 states/eV/cell. The total energy is -1.70 eV/atom.



(3)
The following is a PBE calculation of crystalline AcUBeN3 at its relaxed geometry, from Alexandria.

Cell: 7.213 3.459 7.443 Å, 90.00 104.11 90.00°
Space group P2_1/m (No. 11)
Symmetry-distinct sites (fractional):
Ac (0.224, 0.250, 0.186) [2 per cell]
U (0.178, 0.250, 0.665) [2 per cell]
Be (0.398, 0.750, 0.930) [2 per cell]
N (0.138, 0.750, 0.439) [2 per cell]
N (0.154, 0.750, 0.876) [2 per cell]
N (0.476, 0.250, 0.847) [2 per cell]

The density of states at the Fermi level is 5.89 states/eV/cell. The total energy is -8.53 eV/atom.



(4)
The following is a PBE calculation of crystalline TaReMo2H at its relaxed geometry, from Alexandria.

Cell: 4.001 4.001 4.207 Å, 90.00 90.00 90.00°
Space group P4/mmm (No. 123)
Symmetry-distinct sites (fractional):
Ta (0.000, 0.000, 0.000) [1 per cell]
Re (0.500, 0.500, 0.000) [1 per cell]
Mo (0.000, 0.500, 0.500) [2 per cell]
H (0.500, 0.500, 0.500) [1 per cell]

The density of states at the Fermi level is 4.25 states/eV/cell. The total energy is -9.71 eV/atom.



(5)
The following is a PBE calculation of crystalline TbThAg2 at its relaxed geometry, from Alexandria.

Cell: 7.414 7.414 7.414 Å, 90.00 90.00 90.00°
Space group Fm-3m (No. 225)
Symmetry-distinct sites (fractional):
Tb (0.000, 0.000, 0.000) [4 per cell]
Th (0.000, 0.000, 0.500) [4 per cell]
Ag (0.250, 0.250, 0.250) [8 per cell]

The density of states at the Fermi level is 21.26 states/eV/cell. For the calculated formation energy, the calculation gives -133 meV per atom.



(6)
The following is a PBE calculation of crystalline Ti3ZnCu2 at its relaxed geometry, from Alexandria.

Cell: 3.077 3.077 9.494 Å, 90.00 90.00 90.00°
Space group P4/mmm (No. 123)
Symmetry-distinct sites (fractional):
Ti (0.000, 0.000, 0.000) [1 per cell]
Ti (0.000, 0.000, 0.326) [2 per cell]
Zn (0.500, 0.500, 0.500) [1 per cell]
Cu (0.500, 0.500, 0.168) [2 per cell]

The density of states at the Fermi level is 5.58 states/eV/cell. For the calculated formation energy, the calculation gives -89 meV per atom.



(7)
The following is a PBE calculation of crystalline KLiCo2 at its relaxed geometry, from Alexandria.

Cell: 6.759 6.759 6.759 Å, 90.00 90.00 90.00°
Space group Fm-3m (No. 225)
Symmetry-distinct sites (fractional):
K (0.000, 0.000, 0.000) [4 per cell]
Li (0.000, 0.000, 0.500) [4 per cell]
Co (0.250, 0.250, 0.250) [8 per cell]

The density of states at the Fermi level is 59.95 states/eV/cell. For the calculated formation energy, the calculation gives 1328 meV per atom.



(8)
The following is a PBE calculation of crystalline CsLiBi2S4 at its relaxed geometry, from Alexandria.

Cell: 4.161 14.316 14.503 Å, 90.00 90.00 90.00°
Space group Cmcm (No. 63)
Symmetry-distinct sites (fractional):
Cs (0.000, 0.103, 0.250) [4 per cell]
Li (0.000, 0.169, 0.750) [4 per cell]
Bi (0.000, 0.366, 0.060) [8 per cell]
S (0.000, 0.000, 0.000) [4 per cell]
S (0.000, 0.257, 0.605) [8 per cell]
S (0.000, 0.412, 0.250) [4 per cell]

The total energy is -4.14 eV/atom.